The following is a DFT calculation (PBE) of an optimized crystal structure of SrTb2Nd6.

abc: 5.219 13.396 8.295
angles: 36.19 108.34 101.23
Element x y z (fractional)
Tb (0.112, 0.342, 0.883)
Tb (0.888, 0.658, 0.117)
Nd (0.673, 0.003, 0.344)
Nd (0.557, 0.653, 0.461)
Nd (0.443, 0.347, 0.539)
Nd (0.774, 0.339, 0.208)
Nd (0.226, 0.661, 0.792)
Nd (0.327, 0.997, 0.656)
Sr (0.000, 0.000, 0.000)

Properties
D(E_F)   1.533 states/eV/atom
Volume   35.913 Å³ per atom
E_form   63.6 meV per atom